# 1
Material: Mg2NiCl
Method: DFT, GGA-PBE
State: optimized geometry

a = 4.799 Å, b = 4.799 Å, c = 3.015 Å
α = 90.00°, β = 90.00°, γ = 90.00°
Space group P4/mmm (No. 123)
Symmetry-distinct sites (fractional):
1 Mg 0.000 0.500 0.000 x2
2 Ni 0.000 0.000 0.500 x1
3 Cl 0.500 0.500 0.500 x1

Final energy, Ry per atom: -0.220
Uncorrected formation energy, eV per formula unit: -1.161
Density of states at the Fermi level, states/eV per atom: 0.2831
Energy above the most stable polymorph in this dataset, kJ per mole of atoms: 25.11

# 2
Material: MgNiCl2
Method: DFT, GGA-PBE
State: optimized geometry

a = 4.471 Å, b = 4.471 Å, c = 3.332 Å
α = 90.00°, β = 90.00°, γ = 90.00°
Space group P4/mmm (No. 123)
Symmetry-distinct sites (fractional):
1 Mg 0.000 0.000 0.000 x1
2 Ni 0.500 0.500 0.000 x1
3 Cl 0.000 0.500 0.500 x2

Final energy, Ry per atom: -0.219
Uncorrected formation energy, eV per formula unit: -0.867
Density of states at the Fermi level, states/eV per atom: 0.7778
Energy above the most stable polymorph in this dataset, kJ per mole of atoms: 56.15

# 3
Material: Mg2NiCl
Method: DFT, GGA-PBE
State: optimized geometry

a = 14.848 Å, b = 3.151 Å, c = 3.256 Å
α = 90.00°, β = 91.02°, γ = 90.00°
Space group Cm (No. 8)
Symmetry-distinct sites (fractional):
1 Mg 0.000 0.000 0.000 x2
2 Mg 0.201 0.000 0.018 x2
3 Ni 0.105 0.500 0.508 x2
4 Cl 0.368 0.000 0.973 x2

Final energy, Ry per atom: -0.239
Uncorrected formation energy, eV per formula unit: -2.195
Density of states at the Fermi level, states/eV per atom: 0.5175
Energy above the most stable polymorph in this dataset, kJ per mole of atoms: 0.18

# 4
Material: MgNi3Cl
Method: DFT, GGA-PBE
State: optimized geometry

a = 4.202 Å, b = 4.202 Å, c = 4.202 Å
α = 90.00°, β = 90.00°, γ = 90.00°
Space group Pm-3m (No. 221)
Symmetry-distinct sites (fractional):
1 Mg 0.000 0.000 0.000 x1
2 Ni 0.000 0.500 0.500 x3
3 Cl 0.500 0.500 0.500 x1

Final energy, Ry per atom: -0.277
Uncorrected formation energy, eV per formula unit: 1.968
Density of states at the Fermi level, states/eV per atom: 0.6357
Energy above the most stable polymorph in this dataset, kJ per mole of atoms: 0.00